VASP calculation (PBE+U) on crystalline CoAs2O4 at its relaxed geometry.

abc: 6.2531 6.2531 6.2531
angles: 60.00 60.00 60.00
Sites, in units of the cell vectors:
Co (0.1250, 0.1250, 0.1250)
Co (0.8750, 0.8750, 0.8750)
As (0.0000, 0.5000, 0.5000)
As (0.5000, 0.0000, 0.5000)
As (0.5000, 0.5000, 0.0000)
As (0.5000, 0.5000, 0.5000)
O (0.2549, 0.2549, 0.2549)
O (0.2549, 0.2549, 0.7353)
O (0.2549, 0.7353, 0.2549)
O (0.2647, 0.7451, 0.7451)
O (0.7353, 0.2549, 0.2549)
O (0.7451, 0.2647, 0.7451)
O (0.7451, 0.7451, 0.2647)
O (0.7451, 0.7451, 0.7451)

Summary:
symmetry = Fd-3m (227)
V = 12.35 A^3/atom
final energy = -79.5 eV for the cell shown